[1]
Material: Dy3Zn3Rh2
Method: DFT, GGA-PBE
State: optimized geometry

Lattice parameters (Å, degrees): 7.340 16.207 5.471 90.00 90.00 90.00
Space group Pnma (No. 62)
One atom of each set of equivalent atoms:
1 Dy 0.038 0.107 0.115
2 Dy 0.166 0.250 0.646
3 Zn 0.173 0.029 0.595
4 Zn 0.175 0.750 0.641
5 Rh 0.120 0.617 0.371

## Properties
- energy of formation from the pure elements (eV/atom) = -0.61
- spin magnetization (μB/f.u.) = 0.0
- electronic total energy (eV per atom) = -4.652
- crystal system = orthorhombic

=====

[2]
Material: Zr5W
Method: DFT, GGA-PBE
State: optimized geometry

Lattice parameters (Å, degrees): 11.144 3.431 7.290 90.00 109.55 90.00
Space group Cm (No. 8)
One atom of each set of equivalent atoms:
1 Zr 0.000 0.000 0.000
2 Zr 0.008 0.000 0.441
3 Zr 0.185 0.500 0.826
4 Zr 0.201 0.500 0.293
5 Zr 0.362 0.000 0.648
6 W 0.341 0.000 0.131

## Properties
- energy of formation from the pure elements (eV/atom) = 0.07
- spin magnetization (μB/f.u.) = 0.0
- electronic total energy (eV per atom) = -9.211
- crystal system = monoclinic
- energy above the lowest structure with this stoichiometry (meV per atom) = 0.0

=====

[3]
Material: K3Dy2ThSe6
Method: DFT, GGA-PBE
State: optimized geometry

Lattice parameters (Å, degrees): 19.677 4.216 9.159 90.00 109.42 90.00
Space group C2/m (No. 12)
One atom of each set of equivalent atoms:
1 K 0.000 0.000 0.000
2 K 0.167 0.500 0.331
3 Dy 0.169 0.500 0.838
4 Th 0.000 0.000 0.500
5 Se 0.010 0.500 0.735
6 Se 0.158 0.000 0.609
7 Se 0.176 0.000 0.059

## Properties
- raw formation energy (kJ per mole of atoms) = -162.4
- spin magnetization (μB/f.u.) = 0.0
- electronic total energy (eV per atom) = -5.085
- crystal system = monoclinic

=====

[4]
Material: LaScIr3
Method: DFT, GGA-PBE
State: optimized geometry

Lattice parameters (Å, degrees): 4.787 4.787 4.787 90.00 90.00 90.00
Space group Pm-3m (No. 221)
One atom of each set of equivalent atoms:
1 La 0.000 0.000 0.000
2 Sc 0.500 0.500 0.500
3 Ir 0.000 0.500 0.500

## Properties
- energy of formation from the pure elements (eV/atom) = 0.31
- spin magnetization (μB/f.u.) = 0.0
- electronic total energy (eV per atom) = -7.262
- crystal system = cubic
- energy above the lowest structure with this stoichiometry (meV per atom) = 0.0

=====

[5]
Material: ScHgPb2
Method: DFT, GGA-PBE
State: optimized geometry

Lattice parameters (Å, degrees): 4.8791 4.8791 17.0105 90.00 90.00 120.00
Space group R3m (No. 160, hexagonal axes)
One atom of each set of equivalent atoms:
1 Sc 0.0000 0.0000 0.0000
2 Hg 0.0000 0.0000 0.1756
3 Pb 0.0000 0.0000 0.4095
4 Pb 0.0000 0.0000 0.6059

## Properties
- energy of formation from the pure elements (eV/atom) = 0.00
- spin magnetization (μB/f.u.) = 0.0
- electronic total energy (eV per atom) = -3.508
- crystal system = trigonal

=====

[6]
Material: Tb3YPd2
Method: DFT, GGA-PBE
State: optimized geometry

Lattice parameters (Å, degrees): 3.789 9.746 8.561 90.00 90.00 90.00
Space group Pmc2_1 (No. 26)
One atom of each set of equivalent atoms:
1 Tb 0.000 0.067 0.000
2 Tb 0.000 0.285 0.343
3 Tb 0.500 0.216 0.679
4 Y 0.500 0.433 0.021
5 Pd 0.000 0.426 0.748
6 Pd 0.500 0.074 0.273

## Properties
- energy of formation from the pure elements (eV/atom) = -0.59
- spin magnetization (μB/f.u.) = 0.3
- electronic total energy (eV per atom) = -5.711
- crystal system = orthorhombic

=====

[7]
Material: SiBiPbI2
Method: DFT, GGA-PBE
State: optimized geometry

Lattice parameters (Å, degrees): 5.428 5.428 5.849 90.00 90.00 90.00
Space group P4/mmm (No. 123)
One atom of each set of equivalent atoms:
1 Si 0.000 0.000 0.000
2 Bi 0.500 0.500 0.500
3 Pb 0.000 0.000 0.500
4 I 0.000 0.500 0.000

## Properties
- raw formation energy (kJ per mole of atoms) = 38.1
- spin magnetization (μB/f.u.) = 0.0
- electronic total energy (eV per atom) = -2.828
- crystal system = tetragonal

=====

[8]
Material: LiErScPd
Method: DFT, GGA-PBE
State: optimized geometry

Lattice parameters (Å, degrees): 6.864 6.864 6.864 90.00 90.00 90.00
Space group F-43m (No. 216)
One atom of each set of equivalent atoms:
1 Li 0.000 0.000 0.000
2 Er 0.250 0.250 0.250
3 Sc 0.250 0.250 0.750
4 Pd 0.000 0.000 0.500

## Properties
- energy of formation from the pure elements (eV/atom) = -0.42
- spin magnetization (μB/f.u.) = 0.1
- electronic total energy (eV per atom) = -4.920
- crystal system = cubic

=====

[9]
Material: Ca3Ce2TaN6
Method: DFT, GGA-PBE
State: optimized geometry

Lattice parameters (Å, degrees): 5.980 10.375 5.980 90.00 109.45 90.00
Space group C2/m (No. 12)
One atom of each set of equivalent atoms:
1 Ca 0.000 0.000 0.000
2 Ca 0.000 0.338 0.000
3 Ce 0.000 0.167 0.500
4 Ta 0.000 0.500 0.500
5 N 0.225 0.348 0.717
6 N 0.234 0.500 0.286

## Properties
- raw formation energy (kJ per mole of atoms) = -125.3
- spin magnetization (μB/f.u.) = 0.6
- electronic total energy (eV per atom) = -7.938
- crystal system = monoclinic

=====

[10]
Material: Re3OsBr
Method: DFT, GGA-PBE
State: optimized geometry

Lattice parameters (Å, degrees): 4.807 4.807 4.807 90.00 90.00 90.00
Space group Pm-3m (No. 221)
One atom of each set of equivalent atoms:
1 Re 0.000 0.000 0.500
2 Os 0.000 0.000 0.000
3 Br 0.500 0.500 0.500

## Properties
- raw formation energy (kJ per mole of atoms) = 235.8
- spin magnetization (μB/f.u.) = 3.5
- electronic total energy (eV per atom) = -7.606
- crystal system = cubic
- energy above the lowest structure with this stoichiometry (meV per atom) = 0.0

=====

[11]
Material: SmYEr6Tm2
Method: DFT, GGA-PBE
State: optimized geometry

Lattice parameters (Å, degrees): 9.000 14.919 9.442 90.00 96.85 90.00
Space group C2/c (No. 15)
One atom of each set of equivalent atoms:
1 Sm 0.000 0.027 0.250
2 Y 0.000 0.409 0.750
3 Er 0.063 0.185 0.943
4 Er 0.100 0.391 0.119
5 Er 0.207 0.227 0.318
6 Tm 0.249 0.447 0.454

## Properties
- energy of formation from the pure elements (eV/atom) = 0.12
- spin magnetization (μB/f.u.) = 0.0
- electronic total energy (eV per atom) = -4.629
- crystal system = monoclinic

=====

[12]
Material: YTiCr2
Method: DFT, GGA-PBE
State: optimized geometry

Lattice parameters (Å, degrees): 4.390 4.390 17.282 90.00 90.00 90.00
Space group I-42d (No. 122)
One atom of each set of equivalent atoms:
1 Y 0.000 0.000 0.000
2 Ti 0.000 0.000 0.500
3 Cr 0.041 0.250 0.625

## Properties
- energy of formation from the pure elements (eV/atom) = 0.91
- spin magnetization (μB/f.u.) = 1.1
- electronic total energy (eV per atom) = -7.493
- crystal system = tetragonal
- energy above the lowest structure with this stoichiometry (meV per atom) = 488.8